[1]
First-principles (PBEsol) data for a relaxed structure of ZnBAs3, as listed in Alexandria.

## Properties
Formation energy in eV per atom: 0.7523

Cell lengths 4.359, 4.359, 4.359 Å; angles 90.00, 90.00, 90.00 degrees
Positions (direct):
As (0.500, 0.000, 0.000)
As (0.000, 0.000, 0.500)
As (0.000, 0.500, 0.000)
B (0.000, 0.000, 0.000)
Zn (0.500, 0.500, 0.500)

---

[2]
First-principles (PBEsol) data for a relaxed structure of ZrB3As, as listed in Alexandria.

## Properties
Formation energy in eV per atom: 1.9521

Cell lengths 4.387, 4.387, 4.387 Å; angles 90.00, 90.00, 90.00 degrees
Positions (direct):
Zr (0.000, 0.000, 0.000)
As (0.500, 0.500, 0.500)
B (0.000, 0.000, 0.500)
B (0.000, 0.500, 0.000)
B (0.500, 0.000, 0.000)

---

[3]
First-principles (PBEsol) data for a relaxed structure of Ba3As, as listed in Alexandria.

## Properties
Offset from the most stable computed form in meV per atom: 370
Formation energy in eV per atom: -0.2092

Cell lengths 4.131, 6.606, 6.606 Å; angles 115.77, 102.03, 102.03 degrees
Positions (direct):
As (0.000, 0.000, 0.000)
Ba (0.500, 0.000, 0.500)
Ba (0.000, 0.500, 0.500)
Ba (0.500, 0.500, 0.000)

---

[4]
First-principles (PBEsol) data for a relaxed structure of Ba3As, as listed in Alexandria.

## Properties
Offset from the most stable computed form in meV per atom: 182
Formation energy in eV per atom: -0.3963

Cell lengths 4.681, 5.141, 7.296 Å; angles 90.00, 90.00, 90.00 degrees
Positions (direct):
Ba (0.000, 0.500, 0.303)
Ba (0.500, 0.000, 0.404)
Ba (0.500, 0.500, 0.899)
As (0.000, 0.000, 0.060)

---

[5]
First-principles (PBEsol) data for a relaxed structure of Ba20As13, as listed in Alexandria.

## Properties
Formation energy in eV per atom: -1.0673

Cell lengths 8.578, 8.578, 35.501 Å; angles 94.61, 94.61, 109.57 degrees
Positions (direct):
Ba (0.488, 0.228, 0.773)
Ba (0.043, 0.920, 0.249)
Ba (0.579, 0.204, 0.547)
Ba (0.659, 0.896, 0.620)
Ba (0.652, 0.561, 0.455)
Ba (0.170, 0.793, 0.749)
Ba (0.772, 0.999, 0.319)
Ba (0.381, 0.011, 0.150)
Ba (0.106, 0.197, 0.545)
Ba (0.447, 0.856, 0.045)
Ba (0.258, 0.658, 0.651)
Ba (0.875, 0.114, 0.024)
Ba (0.277, 0.040, 0.380)
Ba (0.575, 0.836, 0.925)
Ba (0.679, 0.453, 0.681)
Ba (0.261, 0.131, 0.650)
Ba (0.657, 0.032, 0.453)
Ba (0.811, 0.402, 0.955)
Ba (0.282, 0.407, 0.953)
Ba (0.290, 0.027, 0.880)
Ba (0.856, 0.756, 0.849)
Ba (0.910, 0.649, 0.075)
Ba (0.086, 0.325, 0.425)
Ba (0.006, 0.606, 0.349)
Ba (0.249, 0.522, 0.819)
Ba (0.364, 0.625, 0.524)
Ba (0.671, 0.794, 0.751)
Ba (0.044, 0.421, 0.251)
Ba (0.146, 0.409, 0.120)
Ba (0.861, 0.231, 0.850)
Ba (0.899, 0.660, 0.575)
Ba (0.703, 0.429, 0.181)
Ba (0.101, 0.839, 0.476)
Ba (0.478, 0.238, 0.273)
Ba (0.965, 0.205, 0.727)
Ba (0.481, 0.611, 0.350)
Ba (0.455, 0.715, 0.227)
Ba (0.454, 0.329, 0.047)
Ba (0.908, 0.008, 0.151)
Ba (0.089, 0.851, 0.976)
As (0.155, 0.027, 0.074)
As (0.949, 0.824, 0.674)
As (0.074, 0.699, 0.174)
As (0.535, 0.027, 0.697)
As (0.863, 0.497, 0.777)
As (0.089, 0.080, 0.803)
As (0.336, 0.470, 0.723)
As (0.922, 0.422, 0.500)
As (0.150, 0.276, 0.326)
As (0.747, 0.613, 0.277)
As (0.872, 0.869, 0.399)
As (0.672, 0.672, 0.000)
As (0.330, 0.839, 0.303)
As (0.476, 0.108, 0.973)
As (0.277, 0.285, 0.197)
As (0.119, 0.622, 0.899)
As (0.723, 0.220, 0.101)
As (0.331, 0.702, 0.426)
As (0.470, 0.473, 0.601)
As (0.358, 0.226, 0.473)
As (0.720, 0.086, 0.223)
As (0.526, 0.900, 0.826)
As (0.753, 0.885, 0.527)
As (0.135, 0.503, 0.027)
As (0.277, 0.905, 0.574)
As (0.952, 0.081, 0.926)

---

[6]
First-principles (PBEsol) data for a relaxed structure of Ba5As3, as listed in Alexandria.

## Properties
Formation energy in eV per atom: -1.0106

Cell lengths 7.809, 9.554, 9.554 Å; angles 120.00, 90.00, 90.00 degrees
Last column: magnetic moment on the atom in μB.
Positions (direct):
Ba (0.500, 0.667, 0.333)  0.00
Ba (0.000, 0.333, 0.667)  0.00
Ba (0.250, 0.257, 0.000)  0.07
Ba (0.750, 0.743, 0.000)  0.07
Ba (0.000, 0.667, 0.333)  0.00
Ba (0.750, 0.000, 0.743)  0.07
Ba (0.500, 0.333, 0.667)  0.00
Ba (0.250, 0.000, 0.257)  0.07
Ba (0.750, 0.257, 0.257)  0.07
Ba (0.250, 0.743, 0.743)  0.07
As (0.250, 0.000, 0.607)  0.00
As (0.250, 0.393, 0.393)  0.00
As (0.750, 0.607, 0.607)  0.00
As (0.250, 0.607, 0.000)  0.00
As (0.750, 0.393, 0.000)  0.00
As (0.750, 0.000, 0.393)  0.00